Ni2HgAu | PBE | optimized geometry

Lattice parameters (Å, degrees): 4.9863 4.9863 4.5581 106.76 106.76 34.17
Closest atoms and distances in Å follow each position.
Fractional positions:
Ni: 0.0000 0.0000 0.0000  2 Ni 2.52, 4 Au 2.69-2.76, 3 Hg 2.74-2.75
Ni: 0.7134 0.7134 0.2785  2 Ni 2.52, 4 Hg 2.71-2.74, 3 Au 2.74
Hg: 0.2449 0.2449 0.8032  7 Ni 2.71-2.75, 2 Hg 2.93, 3 Au 2.96-3.01
Au: 0.4671 0.4671 0.4694  7 Ni 2.69-2.76, 2 Au 2.93, 3 Hg 2.96-3.01

Results
Formation energy in meV per atom: 177
Density in g cm⁻³: 14.089
Total DFT energy (no corrections) in eV/atom: -3.609
Total magnetization in μB per atom: 0.09

=====

AcPd7O12 | PBE | optimized geometry

Lattice parameters (Å, degrees): 6.7601 6.7601 6.7601 109.47 109.47 109.47
Closest atoms and distances in Å follow each position.
Fractional positions:
Ac: 0.0000 0.0000 0.0000  12 O 2.70
Pd: 0.0000 0.0000 0.5000  6 O 2.10
Pd: 0.0000 0.5000 0.0000  6 O 2.10
Pd: 0.0000 0.5000 0.5000  4 O 2.02
Pd: 0.5000 0.0000 0.0000  6 O 2.10
Pd: 0.5000 0.0000 0.5000  4 O 2.02
Pd: 0.5000 0.5000 0.0000  4 O 2.02
Pd: 0.5000 0.5000 0.5000  6 O 2.10
O: 0.1357 0.8328 0.3029  3 Pd 2.02-2.10
O: 0.1672 0.3029 0.4701  3 Pd 2.02-2.10
O: 0.1672 0.6971 0.8643  3 Pd 2.02-2.10
O: 0.3029 0.1357 0.8328  3 Pd 2.02-2.10
O: 0.3029 0.4701 0.1672  3 Pd 2.02-2.10
O: 0.4701 0.1672 0.3029  3 Pd 2.02-2.10
O: 0.5299 0.8328 0.6971  3 Pd 2.02-2.10
O: 0.6971 0.5299 0.8328  3 Pd 2.02-2.10
O: 0.6971 0.8643 0.1672  3 Pd 2.02-2.10
O: 0.8328 0.3029 0.1357  3 Pd 2.02-2.10
O: 0.8328 0.6971 0.5299  3 Pd 2.02-2.10
O: 0.8643 0.1672 0.6971  3 Pd 2.02-2.10

Results
Density in g cm⁻³: 8.127
Total DFT energy (no corrections) in eV/atom: -5.747
Total magnetization in μB per atom: 0.00